1.
LuTlHgO3 | PBE | relaxed

Results
* magnetic moment: 0.00 μB per atom
* electronic total energy: -64.87 eV for the cell shown

extended XYZ file:
```
12
Lattice="1.720 -6.951 0.000 1.720 6.951 0.000 0.000 0.000 8.606" Properties=species:S:1:pos:R:3 pbc="T T T"
Lu 0.000 0.000 0.000
Lu 0.000 0.000 4.303
Tl 1.720 2.232 6.454
Tl 1.720 -2.232 2.151
Hg 1.720 2.317 2.151
Hg 1.720 -2.317 6.454
O 1.720 6.339 2.151
O 1.720 1.392 0.207
O 1.720 1.392 4.096
O 1.720 -1.392 4.510
O 1.720 -1.392 8.399
O 1.720 -6.339 6.454
```

---

2.
Cu19Ag | PBE | relaxed

Results
* electronic total energy: -145.85 eV for the cell shown
* energy of formation: 0.0261 eV/atom

extended XYZ file:
```
40
Lattice="5.734 0.000 0.000 -0.577 6.775 0.000 -2.863 -2.191 12.298" Properties=species:S:1:pos:R:3 pbc="T T T"
Cu 0.000 0.000 0.000
Cu -1.720 2.292 6.149
Cu -1.712 -0.642 8.265
Cu -0.571 3.876 2.261
Cu -0.577 0.921 4.327
Cu -2.269 3.232 10.391
Cu -1.147 4.779 6.452
Cu -1.148 1.855 8.560
Cu 0.575 -0.428 2.470
Cu -1.145 -1.099 10.682
Cu 0.001 3.412 4.647
Cu 0.001 0.486 6.758
Cu 1.215 5.019 0.639
Cu -0.562 4.344 8.870
Cu 1.159 2.029 2.861
Cu -0.610 1.428 10.974
Cu 1.145 -0.878 4.925
Cu 0.571 2.979 7.045
Cu 2.337 0.646 0.964
Cu 0.577 0.052 9.197
Cu 1.717 4.532 3.101
Cu -0.044 3.937 11.334
Cu 1.722 1.604 5.253
Cu 1.725 -1.314 7.373
Cu 2.903 3.156 1.324
Cu 1.134 2.554 9.437
Cu 2.855 0.240 3.428
Cu 1.078 -0.435 11.659
Cu 2.292 4.098 5.540
Cu 2.292 1.171 7.651
Cu 3.438 5.682 1.616
Cu 1.718 5.011 9.828
Cu 3.441 2.729 3.737
Cu 3.440 -0.196 5.846
Cu 4.562 1.351 1.907
Cu 2.870 3.662 7.971
Cu 2.864 0.707 10.037
Cu 4.005 5.226 4.033
Ag 0.612 2.461 0.334
Ag 1.681 2.122 11.964
```

---

3.
Rb2AgHgF6 | PBE | relaxed

Results
* electronic total energy: -66.53 eV for the cell shown

extended XYZ file:
```
20
Lattice="4.842 -5.019 0.000 4.842 5.019 0.000 -1.048 0.000 6.277" Properties=species:S:1:pos:R:3 pbc="T T T"
Rb 2.105 0.891 1.126
Rb 1.581 -0.891 4.265
Rb 7.056 0.891 2.012
Rb 6.532 -0.891 5.151
Ag 4.056 1.438 4.708
Ag 4.580 -1.438 1.569
Hg 4.580 3.394 1.569
Hg 4.056 -3.394 4.708
F 3.751 3.845 3.430
F 1.886 1.574 4.915
F 4.361 3.845 5.987
F 4.187 1.273 2.673
F 4.973 1.273 0.465
F 2.411 -1.574 1.776
F 6.226 1.574 4.501
F 3.663 -1.273 5.812
F 4.449 -1.273 3.604
F 4.275 -3.845 0.291
F 6.750 -1.574 1.362
F 4.885 -3.845 2.848
```

---

4.
HIrSe2 | PBE | relaxed

Results
* magnetic moment: 0.00 μB per atom
* electronic total energy: -38.15 eV for the cell shown

extended XYZ file:
```
8
Lattice="5.711 0.000 0.000 0.000 5.428 0.000 -0.022 0.000 5.752" Properties=species:S:1:pos:R:3 pbc="T T T"
H 0.000 0.000 0.000
H 2.827 2.714 3.269
Ir 5.548 1.356 2.948
Ir 5.548 4.072 2.948
Se 1.047 0.000 4.550
Se 1.382 2.714 1.723
Se 4.047 2.714 4.295
Se 4.249 0.000 1.457
```

---

5.
NaAlPdSe3 | PBE | relaxed

Results
* electronic total energy: -48.92 eV for the cell shown

extended XYZ file:
```
12
Lattice="7.561 0.000 0.000 0.000 3.633 0.000 -3.164 0.000 10.044" Properties=species:S:1:pos:R:3 pbc="T T T"
Na 1.167 0.908 2.262
Na 3.230 2.725 7.782
Al -0.544 2.725 6.077
Al 4.941 0.908 3.967
Pd 0.096 0.908 8.853
Pd 4.301 2.725 1.191
Se -0.831 2.725 3.609
Se -1.130 2.725 9.949
Se 1.128 0.908 6.475
Se 3.270 2.725 3.569
Se 5.527 0.908 0.095
Se 5.228 0.908 6.436
```

---

6.
KThBi | PBE | relaxed

Results
* magnetic moment: 0.57 μB per atom
* electronic total energy: -39.77 eV for the cell shown

extended XYZ file:
```
12
Lattice="7.678 0.000 0.000 0.000 7.678 0.000 0.000 0.000 7.678" Properties=species:S:1:pos:R:3 pbc="T T T"
K 0.000 0.000 0.000
K 0.000 3.839 3.839
K 3.839 0.000 3.839
K 3.839 3.839 0.000
Th 1.919 1.919 1.919
Th 1.919 5.758 5.758
Th 5.758 1.919 5.758
Th 5.758 5.758 1.919
Bi 1.919 1.919 5.758
Bi 1.919 5.758 1.919
Bi 5.758 1.919 1.919
Bi 5.758 5.758 5.758
```

---

7.
Lu2ZnN | PBE | relaxed

Results
* magnetic moment: 0.00 μB per atom
* electronic total energy: -44.78 eV for the cell shown

extended XYZ file:
```
8
Lattice="3.384 0.000 0.000 -1.692 2.931 0.000 0.000 0.000 14.541" Properties=species:S:1:pos:R:3 pbc="T T T"
Lu 0.000 1.954 1.329
Lu 0.000 1.954 5.941
Lu 1.692 0.977 8.600
Lu 1.692 0.977 13.212
Zn 0.000 1.954 10.906
Zn 1.692 0.977 3.635
N 0.000 0.000 0.000
N 0.000 0.000 7.270
```

---

8.
Dy2HoSc3CuTe2 | PBE | relaxed

Results
* magnetic moment: 0.02 μB per atom
* electronic total energy: -48.74 eV for the cell shown

extended XYZ file:
```
9
Lattice="3.966 0.000 0.000 0.000 6.926 3.998 0.000 -6.926 3.998" Properties=species:S:1:pos:R:3 pbc="T T T"
Dy 0.000 -4.191 3.998
Dy 0.000 4.191 3.998
Ho 0.000 0.000 4.729
Sc 1.983 -1.640 2.531
Sc 1.983 1.640 2.531
Sc 1.983 0.000 7.673
Cu 0.000 0.000 1.582
Te 1.983 -2.305 5.575
Te 1.983 2.305 5.575
```

---

9.
SrTcAu2 | PBE | relaxed

Results
* magnetic moment: 0.75 μB per atom
* electronic total energy: -67.92 eV for the cell shown

extended XYZ file:
```
16
Lattice="6.846 0.000 0.000 0.000 6.846 0.000 0.000 0.000 6.846" Properties=species:S:1:pos:R:3 pbc="T T T"
Sr 0.000 0.000 0.000
Sr 0.000 3.423 3.423
Sr 3.423 0.000 3.423
Sr 3.423 3.423 0.000
Tc 1.712 1.712 1.712
Tc 1.712 5.135 5.135
Tc 5.135 1.712 5.135
Tc 5.135 5.135 1.712
Au 0.000 0.000 3.423
Au 0.000 3.423 0.000
Au 1.712 1.712 5.135
Au 1.712 5.135 1.712
Au 3.423 0.000 0.000
Au 3.423 3.423 3.423
Au 5.135 1.712 1.712
Au 5.135 5.135 5.135
```

---

10.
Ga2CoAg | PBE | relaxed

Results
* magnetic moment: 0.27 μB per atom
* electronic total energy: -60.53 eV for the cell shown

extended XYZ file:
```
16
Lattice="6.240 0.000 0.000 0.000 6.240 0.000 0.000 0.000 6.240" Properties=species:S:1:pos:R:3 pbc="T T T"
Ga 0.000 0.000 0.000
Ga 0.000 3.120 3.120
Ga 1.560 1.560 1.560
Ga 1.560 4.680 4.680
Ga 3.120 0.000 3.120
Ga 3.120 3.120 0.000
Ga 4.680 1.560 4.680
Ga 4.680 4.680 1.560
Co 1.560 1.560 4.680
Co 1.560 4.680 1.560
Co 4.680 1.560 1.560
Co 4.680 4.680 4.680
Ag 0.000 0.000 3.120
Ag 0.000 3.120 0.000
Ag 3.120 0.000 0.000
Ag 3.120 3.120 3.120
```

---

11.
Cs2TaPdSe6 | PBE | relaxed

Results
* magnetic moment: 0.00 μB per atom
* electronic total energy: -44.33 eV for the cell shown

extended XYZ file:
```
10
Lattice="6.346 -3.615 0.000 6.346 3.615 0.000 -4.292 0.000 6.111" Properties=species:S:1:pos:R:3 pbc="T T T"
Cs 2.060 0.000 1.426
Cs 6.340 0.000 4.685
Ta -2.146 0.000 3.055
Pd 6.346 0.000 0.000
Se -0.061 0.000 4.552
Se 3.122 1.760 4.466
Se 5.277 1.760 1.644
Se 3.122 -1.760 4.466
Se 5.277 -1.760 1.644
Se 8.461 0.000 1.559
```

---

12.
DyErPO | PBE | relaxed

Results
* magnetic moment: 0.00 μB per atom
* electronic total energy: -54.54 eV for the cell shown

extended XYZ file:
```
8
Lattice="4.286 0.000 0.000 0.000 4.286 0.000 0.000 0.000 8.514" Properties=species:S:1:pos:R:3 pbc="T T T"
Dy 1.072 1.072 0.888
Dy 3.215 3.215 7.626
Er 1.072 3.215 4.257
Er 3.215 1.072 4.257
P 1.072 1.072 5.917
P 3.215 3.215 2.597
O 1.072 3.215 0.000
O 3.215 1.072 0.000
```